The following is a PBEsol calculation of an optimized crystal structure of Gd2GeBr2, from Alexandria.

abc: 4.1141 4.1141 10.0419
angles: 90.00 90.00 120.00
Closest atoms and distances in Å follow each position.
Sites, in units of the cell vectors:
Ge 0.0000 0.0000 0.0000  6 Gd 2.88
Br 0.3333 0.6667 0.6659  3 Gd 2.94
Gd 0.3333 0.6667 0.1618  3 Ge 2.88, 3 Br 2.94
Br 0.6667 0.3333 0.3341  3 Gd 2.94
Gd 0.6667 0.3333 0.8382  3 Ge 2.88, 3 Br 2.94

Properties
Its formation energy without anion corrections is -7.34 eV per formula unit. As for the space-group type: P-3m1, No. 164. The calculation puts the total energy at -44.9 eV/f.u. The value obtained for the size of the total moment is 13.98 Bohr magnetons per cell.

---

The following is a PBEsol calculation of an optimized crystal structure of LaGd3Br4O4, from Alexandria.

abc: 3.9105 7.8267 8.9108
angles: 116.05 90.00 90.00
Closest atoms and distances in Å follow each position.
Sites, in units of the cell vectors:
O 0.0000 0.5026 0.0051  4 Gd 2.26-2.27
Br 0.5000 0.6733 0.3466  4 Gd 3.21, 4 O 3.36
O 0.5000 0.7487 0.0028  3 Gd 2.24-2.26, 1 La 2.36
Br 0.5000 0.1688 0.3376  4 Gd 3.16, 4 O 3.33
Br 0.0000 0.0922 0.6564  2 Gd 3.15, 2 La 3.21, 4 O 3.35-3.44
Br 0.0000 0.5642 0.6564  2 Gd 3.15, 2 La 3.21, 4 O 3.35-3.44
O 0.0000 0.0001 0.0002  2 Gd 2.27, 2 La 2.33
Gd 0.5000 0.4311 0.8621  4 O 2.24-2.27
O 0.5000 0.2541 0.0028  3 Gd 2.24-2.26, 1 La 2.36
La 0.5000 0.9205 0.8410  4 O 2.33-2.36
Gd 0.0000 0.8233 0.1444  4 O 2.26-2.27
Gd 0.0000 0.3212 0.1444  4 O 2.26-2.27

Properties
Its formation energy without anion corrections is -35.39 eV per formula unit. As for the space-group type: Amm2, No. 38. The calculation puts the total energy at -112.6 eV/f.u. The value obtained for the size of the total moment is 20.97 Bohr magnetons per cell.

---

The following is a PBEsol calculation of an optimized crystal structure of Na3GdBr6, from Alexandria.

abc: 7.3364 7.3364 7.8074
angles: 61.98 61.98 60.00
Closest atoms and distances in Å follow each position.
Sites, in units of the cell vectors:
Br 0.7861 0.0890 0.7390  1 Gd 2.82, 3 Na 2.90-3.04
Na 0.1936 0.1936 0.4192  6 Br 2.93-3.04
Na 0.4896 0.4896 0.5313  6 Br 2.91-3.03
Br 0.8902 0.6156 0.2335  1 Gd 2.80, 3 Na 2.93-3.03
Br 0.2607 0.8902 0.2335  1 Gd 2.80, 3 Na 2.93-3.03
Br 0.0890 0.3860 0.7390  1 Gd 2.82, 3 Na 2.90-3.04
Br 0.6156 0.2607 0.2335  1 Gd 2.80, 3 Na 2.93-3.03
Br 0.3860 0.7861 0.7390  1 Gd 2.82, 3 Na 2.90-3.04
Na 0.6865 0.6865 0.9404  6 Br 2.90-3.01
Gd 0.9975 0.9975 0.0074  6 Br 2.80-2.82

Properties
Its formation energy without anion corrections is -16.70 eV per formula unit. As for the space-group type: R3, No. 146. The calculation puts the total energy at -46.6 eV/f.u. The value obtained for the size of the total moment is 6.84 Bohr magnetons per cell.

---

The following is a PBEsol calculation of an optimized crystal structure of GdSBr, from Alexandria.

abc: 6.7418 6.7448 6.8697
angles: 90.00 90.00 99.76
Closest atoms and distances in Å follow each position.
Sites, in units of the cell vectors:
Gd 0.7090 0.3207 0.5381  4 S 2.72-2.74, 3 Br 2.93-3.03
Br 0.7942 0.0826 0.8785  3 Gd 2.93-3.03
S 0.9912 0.4411 0.2602  4 Gd 2.72-2.74
Br 0.7058 0.9174 0.3785  3 Gd 2.93-3.03
Br 0.2942 0.0826 0.6215  3 Gd 2.93-3.03
Br 0.2058 0.9174 0.1215  3 Gd 2.93-3.03
S 0.4912 0.4411 0.2398  4 Gd 2.72-2.74
S 0.0088 0.5589 0.7398  4 Gd 2.72-2.74
Gd 0.2090 0.3207 0.9619  4 S 2.72-2.74, 3 Br 2.93-3.03
Gd 0.2910 0.6793 0.4619  4 S 2.72-2.74, 3 Br 2.93-3.03
S 0.5088 0.5589 0.7602  4 Gd 2.72-2.74
Gd 0.7910 0.6793 0.0381  4 S 2.72-2.74, 3 Br 2.93-3.03

Properties
Its formation energy without anion corrections is -6.08 eV per formula unit. As for the space-group type: P2_1/c, No. 14. The calculation puts the total energy at -26.8 eV/f.u. The value obtained for the size of the total moment is 27.98 Bohr magnetons per cell.

---

The following is a PBEsol calculation of an optimized crystal structure of GeBr4, from Alexandria.

abc: 6.7322 10.4016 10.6015
angles: 104.26 90.00 90.00
Closest atoms and distances in Å follow each position.
Sites, in units of the cell vectors:
Br 0.0846 0.9249 0.7954  1 Ge 2.29
Br 0.4068 0.7027 0.5225  1 Ge 2.29
Br 0.3917 0.1944 0.0942  1 Ge 2.29
Br 0.4154 0.9249 0.2954  1 Ge 2.29
Br 0.1083 0.1944 0.5942  1 Ge 2.29
Br 0.0932 0.7027 0.0225  1 Ge 2.29
Br 0.9154 0.0751 0.2046  1 Ge 2.29
Br 0.5846 0.0751 0.7046  1 Ge 2.29
Ge 0.5692 0.7501 0.3501  4 Br 2.29
Br 0.5932 0.2973 0.4775  1 Ge 2.29
Ge 0.0692 0.2499 0.1499  4 Br 2.29
Br 0.8917 0.8056 0.4058  1 Ge 2.29
Ge 0.9308 0.7501 0.8501  4 Br 2.29
Br 0.4399 0.4312 0.8230  1 Ge 2.29
Br 0.6083 0.8056 0.9058  1 Ge 2.29
Br 0.0601 0.4312 0.3230  1 Ge 2.29
Ge 0.4308 0.2499 0.6499  4 Br 2.29
Br 0.9399 0.5688 0.6770  1 Ge 2.29
Br 0.9068 0.2973 0.9775  1 Ge 2.29
Br 0.5601 0.5688 0.1770  1 Ge 2.29

Properties
Its formation energy without anion corrections is -2.79 eV per formula unit. As for the space-group type: P2_1/c, No. 14. The calculation puts the total energy at -15.2 eV/f.u. The value obtained for the size of the total moment is 0.00 Bohr magnetons per cell.

---

The following is a PBEsol calculation of an optimized crystal structure of InGeHBr2, from Alexandria.

abc: 3.5823 5.4728 5.4728
angles: 90.00 90.00 90.00
Closest atoms and distances in Å follow each position.
Sites, in units of the cell vectors:
Br 0.0000 0.5000 0.0000  2 H 2.74
H 0.0000 0.0000 0.0000  2 Ge 1.79
Br 0.0000 0.0000 0.5000  2 H 2.74
Ge 0.5000 0.0000 0.0000  2 H 1.79
In 0.5000 0.5000 0.5000  8 Br 3.27, 2 In 3.58

Properties
As for the space-group type: P4/mmm, No. 123. The calculation puts the total energy at -15.1 eV/f.u. The value obtained for the size of the total moment is 0.00 Bohr magnetons per cell.